[1]
Material: TiZnPdRh
Method: DFT, PBE
State: optimized geometry

Unit cell a=4.5296 b=4.5296 c=4.5296 alpha=126.34 beta=126.34 gamma=79.34
Atoms (fractional coordinates):
Ti 0.0000 0.0000 0.0000
Zn 0.5000 0.5000 0.0000
Pd 0.7500 0.2500 0.5000
Rh 0.2500 0.7500 0.5000

As for the space group: I-4m2, No. 119. As for the calculated formation energy: -0.67 eV/atom. For the density of states at the Fermi level, the calculation gives 1.36 states/eV/cell.

---

[2]
Material: Cs2AgHgH
Method: DFT, PBE
State: optimized geometry

Unit cell a=5.9322 b=5.9322 c=5.3164 alpha=90.00 beta=90.00 gamma=90.00
Atoms (fractional coordinates):
Cs 0.0000 0.5000 0.0000
Cs 0.5000 0.0000 0.0000
Ag 0.0000 0.0000 0.5000
Hg 0.5000 0.5000 0.5000
H 0.5000 0.5000 0.0000

As for the space group: P4/mmm, No. 123. The value obtained for the energy above the lowest structure with this stoichiometry is 18 meV/atom. For the density of states at the Fermi level, the calculation gives 0.76 states/eV/cell.

---

[3]
Material: HoTcO5
Method: DFT, PBE
State: optimized geometry

Unit cell a=5.4827 b=5.4827 c=7.5458 alpha=110.26 beta=110.26 gamma=70.40
Atoms (fractional coordinates):
Ho 0.0537 0.9463 0.7500
Ho 0.9463 0.0537 0.2500
Tc 0.5000 0.5000 0.0000
Tc 0.5000 0.5000 0.5000
O 0.1930 0.7775 0.0395
O 0.2225 0.8070 0.4605
O 0.2536 0.2969 0.3828
O 0.2969 0.2536 0.8828
O 0.4217 0.5783 0.7500
O 0.5783 0.4217 0.2500
O 0.7031 0.7464 0.1172
O 0.7464 0.7031 0.6172
O 0.7775 0.1930 0.5395
O 0.8070 0.2225 0.9605

As for the space group: C2/c, No. 15. The value obtained for the energy above the lowest structure with this stoichiometry is 55 meV/atom. For the density of states at the Fermi level, the calculation gives 0.16 states/eV/cell.

---

[4]
Material: NdAg4Pt
Method: DFT, PBE
State: optimized geometry

Unit cell a=5.5094 b=5.5094 c=5.5094 alpha=60.00 beta=60.00 gamma=60.00
Atoms (fractional coordinates):
Nd 0.0000 0.0000 0.0000
Ag 0.1265 0.6245 0.6245
Ag 0.6245 0.1265 0.6245
Ag 0.6245 0.6245 0.1265
Ag 0.6245 0.6245 0.6245
Pt 0.2500 0.2500 0.2500

As for the space group: F-43m, No. 216. As for the calculated formation energy: -0.21 eV/atom. For the density of states at the Fermi level, the calculation gives 4.14 states/eV/cell.

---

[5]
Material: In2BiI
Method: DFT, PBE
State: optimized geometry

Unit cell a=5.6455 b=5.6455 c=5.6455 alpha=60.00 beta=60.00 gamma=60.00
Atoms (fractional coordinates):
In 0.2500 0.2500 0.2500
In 0.7500 0.7500 0.7500
Bi 0.0000 0.0000 0.0000
I 0.5000 0.5000 0.5000

As for the space group: Fm-3m, No. 225. The value obtained for the energy above the lowest structure with this stoichiometry is 125 meV/atom. For the density of states at the Fermi level, the calculation gives 1.34 states/eV/cell.

---

[6]
Material: CsF5
Method: DFT, PBE
State: optimized geometry

Unit cell a=5.2489 b=8.8907 c=5.4758 alpha=90.00 beta=115.69 gamma=90.00
Atoms (fractional coordinates):
Cs 0.0492 0.2500 0.4481
Cs 0.9508 0.7500 0.5519
F 0.2863 0.5558 0.2243
F 0.2863 0.9442 0.2243
F 0.2923 0.7500 0.2094
F 0.3757 0.1626 0.1103
F 0.3757 0.3374 0.1103
F 0.6243 0.6626 0.8897
F 0.6243 0.8374 0.8897
F 0.7077 0.2500 0.7906
F 0.7137 0.0558 0.7757
F 0.7137 0.4442 0.7757

As for the space group: P2_1/m, No. 11. The total energy is -16.0 eV per formula unit.